No. 1
HoEr8Tm4, relaxed, DFT PBE; total moment = 0.00 μB per atom; energy of formation = 0.233 eV per atom; mass density = 9.1 g/cm³
1.0
0.668 -1.223 -7.023
-4.553 -3.916 3.899
-5.463 8.068 1.725
Tm Er Ho
4 8 1
Cartesian
0.334 -0.612 -3.512
-2.276 -1.958 1.949
-1.942 -2.570 -1.562
0.000 0.000 0.000
-5.256 -0.779 3.285
-6.905 2.092 0.612
-2.741 1.384 1.132
-4.091 3.708 -4.685
-4.228 3.848 -1.073
-2.442 0.837 -2.012
-5.119 -0.919 -0.327
-6.606 1.544 -2.531
-5.008 2.076 2.812



No. 2
Ho6Er5Tm, relaxed, DFT PBE; total moment = 0.00 μB per atom; energy of formation = 0.123 eV per atom; mass density = 9.0 g/cm³
1.0
9.800 -0.534 -1.763
-5.619 8.047 -1.763
-0.749 -1.346 5.508
Ho Er Tm
6 5 1
Cartesian
0.484 0.870 3.247
3.623 0.004 0.496
-0.191 6.164 1.485
2.948 5.298 -1.265
5.339 3.087 1.485
-1.907 3.081 0.496
4.460 2.438 -1.763
7.060 0.110 0.991
-0.279 5.075 -1.763
1.716 3.084 0.991
-3.628 6.058 0.991
0.000 0.000 0.000



Repeat the first record exactly.
HoEr8Tm4, relaxed, DFT PBE; total moment = 0.00 μB per atom; energy of formation = 0.233 eV per atom; mass density = 9.1 g/cm³
1.0
0.668 -1.223 -7.023
-4.553 -3.916 3.899
-5.463 8.068 1.725
Tm Er Ho
4 8 1
Cartesian
0.334 -0.612 -3.512
-2.276 -1.958 1.949
-1.942 -2.570 -1.562
0.000 0.000 0.000
-5.256 -0.779 3.285
-6.905 2.092 0.612
-2.741 1.384 1.132
-4.091 3.708 -4.685
-4.228 3.848 -1.073
-2.442 0.837 -2.012
-5.119 -0.919 -0.327
-6.606 1.544 -2.531
-5.008 2.076 2.812